# 1
! FeIrAu2 (PBE-GGA, optimized geometry); values from VASP
&SYSTEM
  ibrav = 0, nat = 4, ntyp = 3
/
ATOMIC_SPECIES
Fe 55.84 Fe.upf
Au 196.97 Au.upf
Ir 192.22 Ir.upf
ATOMIC_POSITIONS crystal
Fe 0.5082 0.5082 0.4808
Au 0.7576 0.7576 0.7461
Au 0.9959 0.9959 0.0038
Ir 0.2383 0.2383 0.2693
CELL_PARAMETERS angstrom
4.8658 -0.0182 0.0073
4.0019 2.7679 0.0073
1.0304 0.3195 4.6889
! E above lowest polymorph, eV per formula unit: 0.46
! Electronic total energy, eV for the cell shown: -22.93
! Space group: No. 8
! M_tot, μB per atom: 0.881
! Energy of formation from the pure elements, eV per atom: 0.237

***

# 2
! Cs2TlHI6 (PBE-GGA, optimized geometry); values from VASP
&SYSTEM
  ibrav = 0, nat = 10, ntyp = 4
/
ATOMIC_SPECIES
I 126.90 I.upf
H 1.01 H.upf
Cs 132.91 Cs.upf
Tl 204.38 Tl.upf
ATOMIC_POSITIONS crystal
I 0.2286 0.2286 0.5427
I 0.7267 0.2733 0.0000
I 0.2733 0.7267 0.0000
I 0.2733 0.2733 0.0000
I 0.7267 0.7267 0.0000
I 0.7714 0.7714 0.4573
H 0.5000 0.5000 0.0000
Cs 0.7500 0.2500 0.5000
Cs 0.2500 0.7500 0.5000
Tl 0.0000 0.0000 0.0000
CELL_PARAMETERS angstrom
7.9501 0.0000 0.0000
0.0000 7.9501 0.0000
3.9751 3.9751 6.7432
! Electronic total energy, eV for the cell shown: -22.00
! Space group: No. 139
! M_tot, μB per atom: 0.000

***

# 3
! RbAcSiS4 (PBE-GGA, optimized geometry); values from VASP
&SYSTEM
  ibrav = 0, nat = 14, ntyp = 4
/
ATOMIC_SPECIES
S 32.06 S.upf
Ac 227.00 Ac.upf
Rb 85.47 Rb.upf
Si 28.09 Si.upf
ATOMIC_POSITIONS crystal
S 0.9941 0.4995 0.7207
S 0.0059 0.5005 0.2793
S 0.6224 0.2500 0.4479
S 0.0059 0.9995 0.2793
S 0.3776 0.7500 0.5521
S 0.4022 0.7500 0.1744
S 0.5978 0.2500 0.8256
S 0.9941 0.0005 0.7207
Ac 0.2362 0.2500 0.5499
Ac 0.7638 0.7500 0.4501
Rb 0.2744 0.2500 0.0644
Rb 0.7256 0.7500 0.9356
Si 0.2082 0.7500 0.3168
Si 0.7918 0.2500 0.6832
CELL_PARAMETERS angstrom
-2.4095 -5.8696 2.4452
0.7275 -2.8288 -6.0736
9.1829 -0.2080 1.1968
! Electronic total energy, eV for the cell shown: -75.02
! Space group: No. 11
! M_tot, μB per atom: 0.000

***

# 4
! NaSr3Pd (PBE-GGA, optimized geometry); values from VASP
&SYSTEM
  ibrav = 0, nat = 5, ntyp = 3
/
ATOMIC_SPECIES
Pd 106.42 Pd.upf
Na 22.99 Na.upf
Sr 87.62 Sr.upf
ATOMIC_POSITIONS crystal
Pd 0.0000 0.4103 0.5897
Na 0.5000 0.0962 0.9038
Sr 0.5000 0.1806 0.3246
Sr 0.5000 0.6754 0.8194
Sr 0.0000 0.2656 0.7344
CELL_PARAMETERS angstrom
-0.6194 0.3822 4.1595
-6.6853 8.3490 -1.7627
-1.2430 -10.7387 0.8016
! E above lowest polymorph, eV per formula unit: 1.87
! Electronic total energy, eV for the cell shown: -11.12
! Space group: No. 38
! M_tot, μB per atom: 0.000
! Energy of formation from the pure elements, eV per atom: 0.088

***

# 5
! Rb4Sm3NpS8 (PBE-GGA, optimized geometry); values from VASP
&SYSTEM
  ibrav = 0, nat = 16, ntyp = 4
/
ATOMIC_SPECIES
Rb 85.47 Rb.upf
S 32.06 S.upf
Sm 150.36 Sm.upf
Np 237.00 Np.upf
ATOMIC_POSITIONS crystal
Rb 0.0000 0.0000 0.0000
Rb 0.5000 0.0000 0.5000
Rb 0.0000 0.0000 0.5000
Rb 0.5000 0.0000 0.0000
S 0.2669 0.3061 0.0364
S 0.7695 0.3061 0.0364
S 0.2679 0.3039 0.5359
S 0.7331 0.6939 0.9636
S 0.2305 0.6939 0.4609
S 0.7321 0.6961 0.4641
S 0.2305 0.6939 0.9636
S 0.7695 0.3061 0.5391
Sm 0.5000 0.5000 0.0000
Sm 0.5000 0.5000 0.5000
Sm 0.0000 0.5000 0.5000
Np 0.0000 0.5000 0.0000
CELL_PARAMETERS angstrom
-8.2548 0.7355 -0.9200
-1.0635 -0.6925 8.9888
5.0593 6.0042 -2.8079
! Electronic total energy, eV for the cell shown: -91.34
! Space group: No. 166
! M_tot, μB per atom: 0.250

***

# 6
! Sr2CdI2O2 (PBE-GGA, optimized geometry); values from VASP
&SYSTEM
  ibrav = 0, nat = 7, ntyp = 4
/
ATOMIC_SPECIES
O 16.00 O.upf
I 126.90 I.upf
Cd 112.41 Cd.upf
Sr 87.62 Sr.upf
ATOMIC_POSITIONS crystal
O 0.5000 0.0000 0.0000
O 0.0000 0.5000 0.0000
I 0.1635 0.1635 0.3270
I 0.8365 0.8365 0.6730
Cd 0.0000 0.0000 0.0000
Sr 0.4189 0.4189 0.8378
Sr 0.5811 0.5811 0.1622
CELL_PARAMETERS angstrom
-2.7682 -2.5947 2.2296
-1.4930 -1.6643 -3.7905
9.1533 -5.0361 1.1605
! Electronic total energy, eV for the cell shown: -29.83
! Space group: No. 139
! M_tot, μB per atom: 0.000

***

# 7
! ErTh3Te6 (PBE-GGA, optimized geometry); values from VASP
&SYSTEM
  ibrav = 0, nat = 20, ntyp = 3
/
ATOMIC_SPECIES
Te 127.60 Te.upf
Th 232.04 Th.upf
Er 167.26 Er.upf
ATOMIC_POSITIONS crystal
Te 0.7500 0.7592 0.3132
Te 0.7500 0.8539 0.1003
Te 0.7500 0.4188 0.0994
Te 0.2500 0.2408 0.6868
Te 0.2500 0.1461 0.8997
Te 0.2500 0.5253 0.3709
Te 0.2500 0.1890 0.2470
Te 0.2500 0.8911 0.5384
Te 0.2500 0.5812 0.9006
Te 0.7500 0.8110 0.7530
Te 0.7500 0.4747 0.6291
Te 0.7500 0.1089 0.4616
Th 0.2500 0.6341 0.1369
Th 0.7500 0.1276 0.0734
Th 0.2500 0.3192 0.4780
Th 0.2500 0.8724 0.9266
Th 0.7500 0.6808 0.5220
Th 0.7500 0.3659 0.8631
Er 0.2500 0.9598 0.3142
Er 0.7500 0.0402 0.6858
CELL_PARAMETERS angstrom
-3.3970 -2.4605 0.2270
2.0930 -1.8562 11.2039
-8.1589 11.2266 -0.4069
! Electronic total energy, eV for the cell shown: -114.56
! Space group: No. 11
! M_tot, μB per atom: 0.000

***

# 8
! Li8Al2Zn (PBE-GGA, optimized geometry); values from VASP
&SYSTEM
  ibrav = 0, nat = 11, ntyp = 3
/
ATOMIC_SPECIES
Li 6.94 Li.upf
Al 26.98 Al.upf
Zn 65.41 Zn.upf
ATOMIC_POSITIONS crystal
Li 0.9989 0.9675 0.7028
Li 0.0011 0.0325 0.2972
Li 0.9989 0.7028 0.9675
Li 0.0011 0.2972 0.0325
Li 0.4997 0.6645 0.6645
Li 0.5000 0.7492 0.2508
Li 0.5003 0.3355 0.3355
Li 0.5000 0.2508 0.7492
Al 0.0000 0.6177 0.3823
Al 0.0000 0.3823 0.6177
Zn 0.5000 0.0000 0.0000
CELL_PARAMETERS angstrom
-2.8091 -1.5996 3.3002
3.0099 -6.0109 -0.3607
3.4369 3.4983 4.6120
! Electronic total energy, eV for the cell shown: -24.53
! Space group: No. 12
! M_tot, μB per atom: 0.000
! Energy of formation from the pure elements, eV per atom: -0.042